A plane-wave DFT calculation with GGA-PBE was carried out for an optimized crystal structure of Th2TeOs.

Results
Formation energy from raw total energies ... -837 meV/atom
Calculated volume ... 117.3 Å³/cell
Total moment ... 0.0 μB/f.u.
Polymorph energy (0 for the lowest one) ... 0.00 eV/f.u.

Cell: 4.1992 4.1998 8.0542 Å, 90.00 105.09 120.01°
Positions (direct):
Th (0.5343, 0.2673, 0.8018)
Th (0.4656, 0.7327, 0.1982)
Te (0.0000, 0.5000, 0.5000)
Os (0.0000, 0.0000, 0.0000)

---

A plane-wave DFT calculation with GGA-PBE was carried out for an optimized crystal structure of LaTl2Cd.

Results
DFT formation energy ... -197 meV per atom
Calculated volume ... 116.8 Å³/cell
Total moment ... 0.3 μB/f.u.

Cell: 3.9418 3.9418 7.5160 Å, 90.00 90.00 90.00°
Positions (direct):
Tl (0.5000, 0.5000, 0.2620)
Tl (0.0000, 0.0000, 0.0135)
La (0.5000, 0.5000, 0.7435)
Cd (0.0000, 0.0000, 0.4810)